# LaHgS3 GGA-PBE relaxed
data_LaHgS3
_symmetry_space_group_name_H-M 'P m -3 m'
_symmetry_Int_Tables_number 221
_symmetry_space_group_name_Hall '-P 4 2 3'
_cell_length_a 5.636
_cell_length_b 5.636
_cell_length_c 5.636
_cell_angle_alpha 90.00
_cell_angle_beta 90.00
_cell_angle_gamma 90.00
loop_
_atom_site_label
_atom_site_type_symbol
_atom_site_fract_x
_atom_site_fract_y
_atom_site_fract_z
La1 La 0.000 0.000 0.000
Hg1 Hg 0.500 0.500 0.500
S1 S 0.000 0.000 0.500
# formation energy from raw total energies = -23.65 kJ/mol of atoms
# crystal system = cubic
# offset from the most stable computed form = 287.0 meV per atom